Na2BiRh2O6 after structural relaxation, computed with PBE.

```
data_Na2BiRh2O6
_symmetry_space_group_name_H-M 'P 1'
_symmetry_Int_Tables_number 1
_cell_length_a 5.632
_cell_length_b 5.632
_cell_length_c 5.962
_cell_angle_alpha 100.18
_cell_angle_beta 100.18
_cell_angle_gamma 121.26
loop_
_symmetry_equiv_pos_as_xyz
'x,y,z'
loop_
_atom_site_label
_atom_site_type_symbol
_atom_site_fract_x
_atom_site_fract_y
_atom_site_fract_z
_atom_site_occupancy
Na1 Na 0.830 0.170 0.000 1
Na2 Na 0.170 0.830 0.000 1
Bi1 Bi 0.000 0.000 0.500 1
Rh1 Rh 0.334 0.666 0.500 1
Rh2 Rh 0.666 0.334 0.500 1
O1 O 0.718 0.718 0.701 1
O2 O 0.066 0.433 0.695 1
O3 O 0.282 0.282 0.299 1
O4 O 0.433 0.066 0.695 1
O5 O 0.934 0.567 0.305 1
O6 O 0.567 0.934 0.305 1
```

Computed properties:
Total moment, μB per cell: 0.0
Final energy, eV per atom: -5.714
E_form (uncorrected), eV per atom: -1.080
Space-group type: C2/m (12)

IrPt6Rh8 after structural relaxation, computed with PBE.

```
data_IrPt6Rh8
_symmetry_space_group_name_H-M 'P 1'
_symmetry_Int_Tables_number 1
_cell_length_a 5.408
_cell_length_b 7.102
_cell_length_c 7.714
_cell_angle_alpha 109.36
_cell_angle_beta 70.13
_cell_angle_gamma 79.33
loop_
_symmetry_equiv_pos_as_xyz
'x,y,z'
loop_
_atom_site_label
_atom_site_type_symbol
_atom_site_fract_x
_atom_site_fract_y
_atom_site_fract_z
_atom_site_occupancy
Ir1 Ir 0.500 0.000 0.000 1
Pt1 Pt 0.834 0.680 0.006 1
Pt2 Pt 0.924 0.969 0.674 1
Pt3 Pt 0.731 0.372 0.332 1
Pt4 Pt 0.166 0.320 0.994 1
Pt5 Pt 0.076 0.031 0.326 1
Pt6 Pt 0.269 0.628 0.668 1
Rh1 Rh 0.578 0.037 0.336 1
Rh2 Rh 0.762 0.625 0.668 1
Rh3 Rh 0.662 0.334 0.997 1
Rh4 Rh 0.422 0.963 0.664 1
Rh5 Rh 0.238 0.375 0.332 1
Rh6 Rh 0.338 0.666 0.003 1
Rh7 Rh 0.094 0.297 0.665 1
Rh8 Rh 0.906 0.703 0.335 1
```

Computed properties:
Relative energy among the computed polymorphs, meV per atom: 0
Total moment, μB per cell: 0.0
Final energy, eV per atom: -6.680
Formation energy from the elements, meV per atom: 247
Space-group type: P-1 (2)

AcSnHAu after structural relaxation, computed with PBE.

```
data_AcSnHAu
_symmetry_space_group_name_H-M 'P 1'
_symmetry_Int_Tables_number 1
_cell_length_a 4.761
_cell_length_b 4.762
_cell_length_c 4.507
_cell_angle_alpha 90.00
_cell_angle_beta 90.00
_cell_angle_gamma 120.00
loop_
_symmetry_equiv_pos_as_xyz
'x,y,z'
loop_
_atom_site_label
_atom_site_type_symbol
_atom_site_fract_x
_atom_site_fract_y
_atom_site_fract_z
_atom_site_occupancy
Ac1 Ac 0.905 0.811 0.805 1
Sn1 Sn 0.572 0.144 0.337 1
H1 H 0.238 0.477 0.850 1
Au1 Au 0.239 0.477 0.247 1
```

Computed properties:
Total moment, μB per cell: 0.0
Final energy, eV per atom: -4.277
Space-group type: P3m1 (156)

LiNi4B4 after structural relaxation, computed with PBE.

```
data_LiNi4B4
_symmetry_space_group_name_H-M 'P 1'
_symmetry_Int_Tables_number 1
_cell_length_a 4.976
_cell_length_b 4.976
_cell_length_c 6.793
_cell_angle_alpha 90.00
_cell_angle_beta 90.00
_cell_angle_gamma 90.00
loop_
_symmetry_equiv_pos_as_xyz
'x,y,z'
loop_
_atom_site_label
_atom_site_type_symbol
_atom_site_fract_x
_atom_site_fract_y
_atom_site_fract_z
_atom_site_occupancy
Li1 Li 0.000 0.000 0.000 1
Li2 Li 0.500 0.500 0.500 1
Ni1 Ni 0.252 0.500 0.862 1
Ni2 Ni 0.748 0.500 0.862 1
Ni3 Ni 0.500 0.748 0.138 1
Ni4 Ni 0.500 0.252 0.138 1
Ni5 Ni 0.000 0.752 0.362 1
Ni6 Ni 0.000 0.248 0.362 1
Ni7 Ni 0.248 0.000 0.638 1
Ni8 Ni 0.752 0.000 0.638 1
B1 B 0.500 0.827 0.843 1
B2 B 0.500 0.173 0.843 1
B3 B 0.827 0.500 0.157 1
B4 B 0.173 0.500 0.157 1
B5 B 0.327 0.000 0.343 1
B6 B 0.673 0.000 0.343 1
B7 B 0.000 0.327 0.657 1
B8 B 0.000 0.673 0.657 1
```

Computed properties:
Total moment, μB per cell: 0.0
Final energy, eV per atom: -5.935
Formation energy from the elements, meV per atom: -185
Space-group type: P4_2/nmc (137)

CdRe2Pt after structural relaxation, computed with PBE.

```
data_CdRe2Pt
_symmetry_space_group_name_H-M 'P 1'
_symmetry_Int_Tables_number 1
_cell_length_a 3.942
_cell_length_b 2.829
_cell_length_c 6.476
_cell_angle_alpha 65.31
_cell_angle_beta 90.00
_cell_angle_gamma 90.00
loop_
_symmetry_equiv_pos_as_xyz
'x,y,z'
loop_
_atom_site_label
_atom_site_type_symbol
_atom_site_fract_x
_atom_site_fract_y
_atom_site_fract_z
_atom_site_occupancy
Re1 Re 0.000 0.017 0.023 1
Re2 Re 0.500 0.247 0.214 1
Pt1 Pt 0.500 0.751 0.755 1
Cd1 Cd 0.000 0.485 0.508 1
```

Computed properties:
Total moment, μB per cell: 0.0
Final energy, eV per atom: -7.774
Formation energy from the elements, meV per atom: 189
Space-group type: Pm (6)

Co2Re2Tc after structural relaxation, computed with PBE.

```
data_Co2Re2Tc
_symmetry_space_group_name_H-M 'P 1'
_symmetry_Int_Tables_number 1
_cell_length_a 7.000
_cell_length_b 7.000
_cell_length_c 2.693
_cell_angle_alpha 90.00
_cell_angle_beta 90.00
_cell_angle_gamma 90.00
loop_
_symmetry_equiv_pos_as_xyz
'x,y,z'
loop_
_atom_site_label
_atom_site_type_symbol
_atom_site_fract_x
_atom_site_fract_y
_atom_site_fract_z
_atom_site_occupancy
Re1 Re 0.176 0.676 0.500 1
Re2 Re 0.676 0.824 0.500 1
Re3 Re 0.824 0.324 0.500 1
Re4 Re 0.324 0.176 0.500 1
Co1 Co 0.380 0.880 0.000 1
Co2 Co 0.880 0.620 0.000 1
Co3 Co 0.620 0.120 0.000 1
Co4 Co 0.120 0.380 0.000 1
Tc1 Tc 0.000 0.000 0.000 1
Tc2 Tc 0.500 0.500 0.000 1
```

Computed properties:
Relative energy among the computed polymorphs, meV per atom: 0
Total moment, μB per cell: 0.0
Final energy, eV per atom: -9.764
Formation energy from the elements, meV per atom: 131
Space-group type: P4/mbm (127)